Here is crystalline Ba3ReRu at its relaxed geometry from Alexandria via LeMat-Bulk. Energies are from PBE-GGA.

## Properties
The total energy is -4.266 eV/atom. As for the formation energy: 1.23 eV/atom. Its space group is No. 221.

a b c (Å): 5.791 5.791 5.791
angles (deg): 90.00 90.00 90.00
Fractional coordinates of all 5 atoms:
Ba1 0.000 0.000 0.500
Ba2 0.000 0.500 0.000
Ba3 0.500 0.000 0.000
Re1 0.500 0.500 0.500
Ru1 0.000 0.000 0.000